{"formula": "Cr3AgO", "functional": "PBE+U", "state": "relaxed", "cell": [[4.2852, 0.0000, 0.0000], [0.0000, 4.2852, 0.0000], [0.0000, 0.0000, 4.2852]], "species": ["Cr", "Cr", "Cr", "O", "Ag"], "frac_coords": [[0.0000, 0.5000, 0.0000], [0.0000, 0.0000, 0.5000], [0.5000, 0.0000, 0.0000], [0.0000, 0.0000, 0.0000], [0.5000, 0.5000, 0.5000]], "n_ef_per_ev_cell": 2.87, "magmom_total_mub_per_cell": 12.56, "energy_ev_per_atom": -6.26, "rho_g_cm3": 5.91}